LiZrAl2 SCAN PBEsol geometry; VASP energy = -12.486 eV per atom; V = 67 Å³ per cell; spin magnetization = 0.0 μB/cell; formation energy from the elements = -0.34 eV/atom; crystal system = tetragonal
1.0
3.076 0.000 0.000
0.000 3.076 0.000
0.000 0.000 7.066
Al Zr Li
2 1 1
direct
0.000 0.000 0.783 Al
0.000 0.000 0.217 Al
0.500 0.500 0.500 Zr
0.500 0.500 0.000 Li